{
  "formula": "LaSc3V",
  "functional": "PBE",
  "state": "optimized geometry",
  "delta_e_f_kj_per_mol_atoms": 120.4,
  "cell": [[5.158, 0.000, 0.000], [0.000, 5.158, 0.000], [0.000, 0.000, 5.158]],
  "species": ["La", "Sc", "Sc", "Sc", "V"],
  "frac_coords": [[0.000, 0.000, 0.000], [0.000, 0.000, 0.500], [0.000, 0.500, 0.000], [0.500, 0.000, 0.000], [0.500, 0.500, 0.500]]
}

{
  "formula": "LaSc3V",
  "functional": "PBE",
  "state": "optimized geometry",
  "delta_e_f_kj_per_mol_atoms": 31.1,
  "cell": [[5.141, 0.000, 0.000], [0.000, 5.141, 0.000], [0.000, 0.000, 5.141]],
  "species": ["La", "Sc", "Sc", "Sc", "V"],
  "frac_coords": [[0.000, 0.000, 0.000], [0.000, 0.500, 0.500], [0.500, 0.000, 0.500], [0.500, 0.500, 0.000], [0.500, 0.500, 0.500]]
}

{
  "formula": "LaScW4",
  "functional": "PBE",
  "state": "optimized geometry",
  "delta_e_f_kj_per_mol_atoms": 24.9,
  "cell": [[0.000, 3.910, 3.910], [3.910, 0.000, 3.910], [3.910, 3.910, 0.000]],
  "species": ["La", "Sc", "W", "W", "W", "W"],
  "frac_coords": [[0.000, 0.000, 0.000], [0.750, 0.750, 0.750], [0.375, 0.375, 0.375], [0.375, 0.375, 0.875], [0.375, 0.875, 0.375], [0.875, 0.375, 0.375]]
}

{
  "formula": "LaScW2",
  "functional": "PBE",
  "state": "optimized geometry",
  "delta_e_f_kj_per_mol_atoms": 56.5,
  "cell": [[3.699, 0.000, 0.000], [0.000, 3.699, 0.000], [0.000, 0.000, 6.621]],
  "species": ["La", "Sc", "W", "W"],
  "frac_coords": [[0.000, 0.000, 0.000], [0.000, 0.000, 0.500], [0.500, 0.500, 0.317], [0.500, 0.500, 0.683]]
}

{
  "formula": "LaScW2",
  "functional": "PBE",
  "state": "optimized geometry",
  "delta_e_f_kj_per_mol_atoms": 66.8,
  "cell": [[5.646, 0.000, 0.000], [0.000, 10.228, 0.000], [0.000, 0.000, 2.818]],
  "species": ["La", "La", "Sc", "Sc", "W", "W", "W", "W"],
  "frac_coords": [[0.000, 0.000, 0.000], [0.500, 0.500, 0.000], [0.000, 0.500, 0.000], [0.500, 0.000, 0.000], [0.250, 0.250, 0.500], [0.250, 0.750, 0.500], [0.750, 0.250, 0.500], [0.750, 0.750, 0.500]]
}

{
  "formula": "LaScW2",
  "functional": "PBE",
  "state": "optimized geometry",
  "delta_e_f_kj_per_mol_atoms": 79.8,
  "cell": [[6.884, 0.000, 0.000], [0.000, 6.884, 0.000], [0.000, 0.000, 6.884]],
  "species": ["La", "La", "La", "La", "Sc", "Sc", "Sc", "Sc", "W", "W", "W", "W", "W", "W", "W", "W"],
  "frac_coords": [[0.000, 0.000, 0.000], [0.000, 0.500, 0.500], [0.500, 0.000, 0.500], [0.500, 0.500, 0.000], [0.000, 0.000, 0.500], [0.000, 0.500, 0.000], [0.500, 0.000, 0.000], [0.500, 0.500, 0.500], [0.250, 0.250, 0.250], [0.250, 0.250, 0.750], [0.250, 0.750, 0.250], [0.250, 0.750, 0.750], [0.750, 0.250, 0.250], [0.750, 0.250, 0.750], [0.750, 0.750, 0.250], [0.750, 0.750, 0.750]]
}

{
  "formula": "LaScW2",
  "functional": "PBE",
  "state": "optimized geometry",
  "delta_e_f_kj_per_mol_atoms": 53.6,
  "cell": [[8.969, 0.000, 0.000], [0.000, 2.876, 0.000], [-0.202, 0.000, 6.769]],
  "species": ["La", "La", "Sc", "Sc", "W", "W", "W", "W"],
  "frac_coords": [[0.000, 0.000, 0.000], [0.500, 0.500, 0.000], [0.263, 0.500, 0.321], [0.763, 0.000, 0.321], [0.001, 0.500, 0.534], [0.252, 0.000, 0.710], [0.501, 0.000, 0.534], [0.752, 0.500, 0.710]]
}

{
  "formula": "LaScW2",
  "functional": "PBE",
  "state": "optimized geometry",
  "delta_e_f_kj_per_mol_atoms": 43.1,
  "cell": [[3.008, 0.000, 0.000], [0.000, 4.381, 0.000], [-1.489, 0.000, 6.625]],
  "species": ["La", "Sc", "W", "W"],
  "frac_coords": [[0.000, 0.000, 0.000], [0.576, 0.500, 0.327], [0.050, 0.000, 0.542], [0.400, 0.500, 0.715]]
}

{
  "formula": "La3ScW",
  "functional": "PBE",
  "state": "optimized geometry",
  "delta_e_f_kj_per_mol_atoms": 55.9,
  "cell": [[5.610, 0.000, 0.000], [0.000, 5.610, 0.000], [0.000, 0.000, 5.610]],
  "species": ["La", "La", "La", "Sc", "W"],
  "frac_coords": [[0.000, 0.000, 0.500], [0.000, 0.500, 0.000], [0.500, 0.000, 0.000], [0.500, 0.500, 0.500], [0.000, 0.000, 0.000]]
}

{
  "formula": "LaScW",
  "functional": "PBE",
  "state": "optimized geometry",
  "delta_e_f_kj_per_mol_atoms": 48.1,
  "cell": [[3.794, 0.000, 0.000], [0.000, 4.793, 0.000], [0.000, 0.000, 15.660]],
  "species": ["La", "La", "La", "La", "Sc", "Sc", "Sc", "Sc", "W", "W", "W", "W"],
  "frac_coords": [[0.000, 0.000, 0.000], [0.000, 0.500, 0.500], [0.500, 0.000, 0.500], [0.500, 0.500, 0.000], [0.000, 0.000, 0.712], [0.000, 0.500, 0.212], [0.500, 0.000, 0.212], [0.500, 0.500, 0.712], [0.000, 0.000, 0.344], [0.000, 0.500, 0.844], [0.500, 0.000, 0.844], [0.500, 0.500, 0.344]]
}

{
  "formula": "LaScW2",
  "functional": "PBE",
  "state": "optimized geometry",
  "delta_e_f_kj_per_mol_atoms": 66.8,
  "cell": [[3.321, 0.000, 0.000], [0.000, 4.714, 0.000], [0.000, 0.000, 5.105]],
  "species": ["La", "Sc", "W", "W"],
  "frac_coords": [[0.000, 0.000, 0.000], [0.500, 0.500, 0.000], [0.000, 0.500, 0.500], [0.500, 0.000, 0.500]]
}

{
  "formula": "LaScW2",
  "functional": "PBE",
  "state": "optimized geometry",
  "delta_e_f_kj_per_mol_atoms": 83.9,
  "cell": [[4.797, 0.000, 0.000], [0.000, 4.797, 0.000], [0.000, 0.000, 3.537]],
  "species": ["La", "Sc", "W", "W"],
  "frac_coords": [[0.000, 0.000, 0.000], [0.500, 0.500, 0.000], [0.000, 0.500, 0.500], [0.500, 0.000, 0.500]]
}